1.
This record from Alexandria describes KZr2FeBi after structural relaxation. The functional is PBE-GGA.

The structure in POSCAR format:
```
KZr2FeBi
1.0
-2.494 2.092 3.994
-3.531 0.689 -2.565
-1.837 -4.640 1.283
Zr Bi K Fe
2 1 1 1
direct
0.500 0.000 0.000
0.000 0.000 0.500
0.500 0.500 0.500
0.000 0.000 0.000
0.000 0.500 0.000
```

Output
M_tot in μB/f.u.: 1.0
Energy of formation in eV/atom: 1.802
Symmetry: No. 123
ρ in Mg/m³: 6.89



2.
This record from Alexandria describes Cs2CaYS after structural relaxation. The functional is PBE-GGA.

The structure in POSCAR format:
```
Cs2CaYS
1.0
6.298 0.000 0.000
0.000 6.259 0.000
0.000 0.000 6.298
Ca S Cs Y
1 1 2 1
direct
0.000 0.500 0.000
0.500 0.500 0.500
0.000 0.000 0.500
0.500 0.000 0.000
0.000 0.000 0.000
```

Output
M_tot in μB/f.u.: 3.0
E_form (uncorrected) in eV/atom: 0.84
Symmetry: No. 123
ρ in Mg/m³: 2.86



3.
This record from Alexandria describes Be2Te after structural relaxation. The functional is PBE-GGA.

The structure in POSCAR format:
```
Be2Te
1.0
-4.924 -1.899 -3.230
-5.737 -2.134 0.908
4.590 3.994 1.127
Te Be
1 2
direct
0.500 0.500 0.000
0.285 0.285 0.000
0.715 0.715 0.000
```

Output
M_tot in μB/f.u.: 0.0
E_form (uncorrected) in eV/atom: 0.44
ΔE to the lowest computed polymorph in meV per atom: 415
Symmetry: No. 139
ρ in Mg/m³: 4.66



4.
This record from Alexandria describes LiScSiOs after structural relaxation. The functional is PBE-GGA.

The structure in POSCAR format:
```
LiScSiOs
1.0
4.352 0.000 0.000
2.176 3.769 0.000
2.176 1.256 3.554
Sc Si Li Os
1 1 1 1
direct
0.250 0.250 0.250
0.750 0.750 0.750
0.000 0.000 0.000
0.500 0.500 0.500
```

Output
M_tot in μB/f.u.: 0.0
E_form (uncorrected) in eV/atom: -0.38
Symmetry: No. 216
ρ in Mg/m³: 7.70



Q: Among the records above, which one has the highest ρ?
A: LiScSiOs



Q: Number 2 is which compound?
A: Cs2CaYS



Q: What is the ρ in the third record?
A: 4.66 Mg/m³



Please write out number 3 again, unchanged.
This record from Alexandria describes Be2Te after structural relaxation. The functional is PBE-GGA.

The structure in POSCAR format:
```
Be2Te
1.0
-4.924 -1.899 -3.230
-5.737 -2.134 0.908
4.590 3.994 1.127
Te Be
1 2
direct
0.500 0.500 0.000
0.285 0.285 0.000
0.715 0.715 0.000
```

Output
M_tot in μB/f.u.: 0.0
E_form (uncorrected) in eV/atom: 0.44
ΔE to the lowest computed polymorph in meV per atom: 415
Symmetry: No. 139
ρ in Mg/m³: 4.66